Entry 1:
PBE Fe3SiN, relaxed; energy above the lowest structure with this stoichiometry = 0 meV/atom; mass density = 6.9 g/cm³
1.0
3.686 0.000 0.000
0.000 3.686 0.000
0.000 0.000 3.686
Fe Si N
3 1 1
Direct
0.000 0.000 0.500
0.000 0.500 0.000
0.500 0.000 0.000
0.500 0.500 0.500
0.000 0.000 0.000

Entry 2:
PBE GdMgSi4, relaxed; VASP energy = -6.419 eV per atom; mass density = 4.7 g/cm³
1.0
0.000 3.727 3.727
3.727 0.000 3.727
3.727 3.727 0.000
Gd Mg Si
1 1 4
Direct
0.000 0.000 0.000
0.750 0.750 0.750
0.377 0.377 0.377
0.377 0.377 0.869
0.377 0.869 0.377
0.869 0.377 0.377